No. 1
Here is Li4TlPd3 after structural relaxation from Alexandria. Energies are from PBE-GGA.

Values from the calculation:
- Calculated total energy: -57.5 eV for the cell shown
- ΔE to the lowest computed polymorph: 0.000 eV per atom
- Energy of formation: -0.392 eV/atom
- Symmetry: P4/mmm (123)

Cell: 4.2720 6.4556 8.5451 Å, 90.00 90.00 90.00°
Fractional positions:
Li 0.0001 0.7719 0.7500
Tl 0.0000 0.5000 0.0000
Li 0.9999 0.7719 0.2500
Li 0.5000 0.7718 0.0000
Pd 0.4999 0.0000 0.2500
Li 0.5000 0.2282 0.5000
Li 0.5000 0.7718 0.5000
Pd 0.0000 0.0000 0.5000
Li 0.0001 0.2281 0.7500
Pd 0.0000 0.0000 0.0000
Li 0.5000 0.2282 0.0000
Pd 0.5001 0.5000 0.7500
Li 0.9999 0.2281 0.2500
Tl 0.0000 0.5000 0.5000
Pd 0.5001 0.0000 0.7500
Pd 0.4999 0.5000 0.2500

=====

No. 2
Here is Li2Tl3Pd3 after structural relaxation from Alexandria. Energies are from PBE-GGA.

Values from the calculation:
- Calculated total energy: -56.9 eV for the cell shown
- ΔE to the lowest computed polymorph: 0.016 eV per atom
- Energy of formation: -0.242 eV/atom
- Symmetry: Cmcm (63)

Cell: 3.9672 5.1785 16.2783 Å, 90.00 90.00 112.52°
Fractional positions:
Li 0.7217 0.4433 0.8449
Pd 0.9324 0.8648 0.0809
Pd 0.8652 0.7303 0.2500
Tl 0.5708 0.1416 0.2500
Li 0.2783 0.5567 0.3449
Li 0.2783 0.5567 0.1551
Tl 0.4292 0.8584 0.7500
Pd 0.0676 0.1352 0.5809
Tl 0.3594 0.7189 0.5516
Li 0.7217 0.4433 0.6551
Pd 0.1348 0.2697 0.7500
Pd 0.0676 0.1352 0.9191
Tl 0.6405 0.2811 0.0516
Tl 0.6405 0.2811 0.4484
Tl 0.3594 0.7189 0.9484
Pd 0.9324 0.8648 0.4191